# 1
# SmAgB4 GGA-PBE relaxed
# Energy above the most stable polymorph in this dataset in meV/atom: 81
# Uncorrected energy in eV/atom: -5.613
# Density in g/cm³: 7.37
# Symmetry: P6/mmm
data_SmAgB4
_cell_length_a 3.2435
_cell_length_b 3.2435
_cell_length_c 7.4521
_cell_angle_alpha 90.00
_cell_angle_beta 90.00
_cell_angle_gamma 120.00
_symmetry_space_group_name_H-M 'P 1'
_symmetry_Int_Tables_number 1
loop_
_symmetry_equiv_pos_as_xyz
'x,y,z'
loop_
_atom_site_label
_atom_site_type_symbol
_atom_site_fract_x
_atom_site_fract_y
_atom_site_fract_z
Sm1 Sm 0.0000 0.0000 0.0000
Ag1 Ag 0.0000 0.0000 0.5000
B1 B 0.3333 0.6667 0.2612
B2 B 0.3333 0.6667 0.7388
B3 B 0.6667 0.3333 0.2612
B4 B 0.6667 0.3333 0.7388

# 2
# SmAgB4 GGA-PBE relaxed
# Energy above the most stable polymorph in this dataset in meV/atom: 0
# Uncorrected energy in eV/atom: -5.694
# Density in g/cm³: 7.09
# Symmetry: Immm
data_SmAgB4
_cell_length_a 3.1542
_cell_length_b 5.4565
_cell_length_c 8.2051
_cell_angle_alpha 90.00
_cell_angle_beta 90.00
_cell_angle_gamma 90.00
_symmetry_space_group_name_H-M 'P 1'
_symmetry_Int_Tables_number 1
loop_
_symmetry_equiv_pos_as_xyz
'x,y,z'
loop_
_atom_site_label
_atom_site_type_symbol
_atom_site_fract_x
_atom_site_fract_y
_atom_site_fract_z
Sm1 Sm 0.0000 0.0000 0.0000
Sm2 Sm 0.5000 0.5000 0.5000
Ag1 Ag 0.0000 0.0000 0.5000
Ag2 Ag 0.5000 0.5000 0.0000
B1 B 0.0000 0.3197 0.2580
B2 B 0.0000 0.3197 0.7420
B3 B 0.0000 0.6803 0.2580
B4 B 0.0000 0.6803 0.7420
B5 B 0.5000 0.1803 0.2420
B6 B 0.5000 0.1803 0.7580
B7 B 0.5000 0.8197 0.2420
B8 B 0.5000 0.8197 0.7580

# 3
# AgSnB2 GGA-PBE relaxed
# Uncorrected energy in eV/atom: -3.383
# Density in g/cm³: 6.63
# Symmetry: F-43m
data_AgSnB2
_cell_length_a 6.2888
_cell_length_b 6.2888
_cell_length_c 6.2888
_cell_angle_alpha 90.00
_cell_angle_beta 90.00
_cell_angle_gamma 90.00
_symmetry_space_group_name_H-M 'P 1'
_symmetry_Int_Tables_number 1
loop_
_symmetry_equiv_pos_as_xyz
'x,y,z'
loop_
_atom_site_label
_atom_site_type_symbol
_atom_site_fract_x
_atom_site_fract_y
_atom_site_fract_z
Ag1 Ag 0.0000 0.0000 0.0000
Ag2 Ag 0.0000 0.5000 0.5000
Ag3 Ag 0.5000 0.0000 0.5000
Ag4 Ag 0.5000 0.5000 0.0000
Sn1 Sn 0.2500 0.2500 0.7500
Sn2 Sn 0.2500 0.7500 0.2500
Sn3 Sn 0.7500 0.2500 0.2500
Sn4 Sn 0.7500 0.7500 0.7500
B1 B 0.0000 0.0000 0.5000
B2 B 0.0000 0.5000 0.0000
B3 B 0.2500 0.2500 0.2500
B4 B 0.2500 0.7500 0.7500
B5 B 0.5000 0.0000 0.0000
B6 B 0.5000 0.5000 0.5000
B7 B 0.7500 0.2500 0.7500
B8 B 0.7500 0.7500 0.2500

# 4
# AgSnB4 GGA-PBE relaxed
# Energy above the most stable polymorph in this dataset in meV/atom: 0
# Uncorrected energy in eV/atom: -5.028
# Density in g/cm³: 6.39
# Symmetry: P6/mmm
data_AgSnB4
_cell_length_a 3.0698
_cell_length_b 3.0698
_cell_length_c 8.5953
_cell_angle_alpha 90.00
_cell_angle_beta 90.00
_cell_angle_gamma 120.00
_symmetry_space_group_name_H-M 'P 1'
_symmetry_Int_Tables_number 1
loop_
_symmetry_equiv_pos_as_xyz
'x,y,z'
loop_
_atom_site_label
_atom_site_type_symbol
_atom_site_fract_x
_atom_site_fract_y
_atom_site_fract_z
Ag1 Ag 0.0000 0.0000 0.0000
Sn1 Sn 0.0000 0.0000 0.5000
B1 B 0.3333 0.6667 0.2346
B2 B 0.3333 0.6667 0.7654
B3 B 0.6667 0.3333 0.2346
B4 B 0.6667 0.3333 0.7654

# 5
# AgSnB4 GGA-PBE relaxed
# Energy above the most stable polymorph in this dataset in meV/atom: 13
# Uncorrected energy in eV/atom: -5.015
# Density in g/cm³: 6.43
# Symmetry: Immm
data_AgSnB4
_cell_length_a 3.0890
_cell_length_b 5.3274
_cell_length_c 8.4682
_cell_angle_alpha 90.00
_cell_angle_beta 90.00
_cell_angle_gamma 90.00
_symmetry_space_group_name_H-M 'P 1'
_symmetry_Int_Tables_number 1
loop_
_symmetry_equiv_pos_as_xyz
'x,y,z'
loop_
_atom_site_label
_atom_site_type_symbol
_atom_site_fract_x
_atom_site_fract_y
_atom_site_fract_z
Ag1 Ag 0.0000 0.0000 0.0000
Ag2 Ag 0.5000 0.5000 0.5000
Sn1 Sn 0.0000 0.0000 0.5000
Sn2 Sn 0.5000 0.5000 0.0000
B1 B 0.0000 0.3329 0.2497
B2 B 0.0000 0.3329 0.7503
B3 B 0.0000 0.6671 0.2497
B4 B 0.0000 0.6671 0.7503
B5 B 0.5000 0.1671 0.2503
B6 B 0.5000 0.1671 0.7497
B7 B 0.5000 0.8329 0.2503
B8 B 0.5000 0.8329 0.7497

# 6
# SrAgB4 GGA-PBE relaxed
# Energy above the most stable polymorph in this dataset in meV/atom: 0
# Uncorrected energy in eV/atom: -4.892
# Density in g/cm³: 5.38
# Symmetry: Immm
data_SrAgB4
_cell_length_a 3.1082
_cell_length_b 5.4587
_cell_length_c 8.6811
_cell_angle_alpha 90.00
_cell_angle_beta 90.00
_cell_angle_gamma 90.00
_symmetry_space_group_name_H-M 'P 1'
_symmetry_Int_Tables_number 1
loop_
_symmetry_equiv_pos_as_xyz
'x,y,z'
loop_
_atom_site_label
_atom_site_type_symbol
_atom_site_fract_x
_atom_site_fract_y
_atom_site_fract_z
Sr1 Sr 0.0000 0.0000 0.0000
Sr2 Sr 0.5000 0.5000 0.5000
Ag1 Ag 0.0000 0.0000 0.5000
Ag2 Ag 0.5000 0.5000 0.0000
B1 B 0.0000 0.3314 0.2504
B2 B 0.0000 0.3314 0.7496
B3 B 0.0000 0.6686 0.2504
B4 B 0.0000 0.6686 0.7496
B5 B 0.5000 0.1686 0.2496
B6 B 0.5000 0.1686 0.7504
B7 B 0.5000 0.8314 0.2496
B8 B 0.5000 0.8314 0.7504

# 7
# SrAgB4 GGA-PBE relaxed
# Energy above the most stable polymorph in this dataset in meV/atom: 49
# Uncorrected energy in eV/atom: -4.843
# Density in g/cm³: 5.63
# Symmetry: P6/mmm
data_SrAgB4
_cell_length_a 3.1820
_cell_length_b 3.1820
_cell_length_c 8.0296
_cell_angle_alpha 90.00
_cell_angle_beta 90.00
_cell_angle_gamma 120.00
_symmetry_space_group_name_H-M 'P 1'
_symmetry_Int_Tables_number 1
loop_
_symmetry_equiv_pos_as_xyz
'x,y,z'
loop_
_atom_site_label
_atom_site_type_symbol
_atom_site_fract_x
_atom_site_fract_y
_atom_site_fract_z
Sr1 Sr 0.0000 0.0000 0.0000
Ag1 Ag 0.0000 0.0000 0.5000
B1 B 0.3333 0.6667 0.2718
B2 B 0.3333 0.6667 0.7282
B3 B 0.6667 0.3333 0.2718
B4 B 0.6667 0.3333 0.7282

# 8
# Sr2AgB GGA-PBE relaxed
# Uncorrected energy in eV/atom: -2.588
# Density in g/cm³: 5.47
# Symmetry: F-43m
data_Sr2AgB
_cell_length_a 7.0948
_cell_length_b 7.0948
_cell_length_c 7.0948
_cell_angle_alpha 90.00
_cell_angle_beta 90.00
_cell_angle_gamma 90.00
_symmetry_space_group_name_H-M 'P 1'
_symmetry_Int_Tables_number 1
loop_
_symmetry_equiv_pos_as_xyz
'x,y,z'
loop_
_atom_site_label
_atom_site_type_symbol
_atom_site_fract_x
_atom_site_fract_y
_atom_site_fract_z
Sr1 Sr 0.0000 0.0000 0.0000
Sr2 Sr 0.0000 0.5000 0.5000
Sr3 Sr 0.2500 0.2500 0.2500
Sr4 Sr 0.2500 0.7500 0.7500
Sr5 Sr 0.5000 0.0000 0.5000
Sr6 Sr 0.5000 0.5000 0.0000
Sr7 Sr 0.7500 0.2500 0.7500
Sr8 Sr 0.7500 0.7500 0.2500
Ag1 Ag 0.2500 0.2500 0.7500
Ag2 Ag 0.2500 0.7500 0.2500
Ag3 Ag 0.7500 0.2500 0.2500
Ag4 Ag 0.7500 0.7500 0.7500
B1 B 0.0000 0.0000 0.5000
B2 B 0.0000 0.5000 0.0000
B3 B 0.5000 0.0000 0.0000
B4 B 0.5000 0.5000 0.5000